Density functional theory data (PBE) for NbTlS2 after structural relaxation.

POSCAR file:
```
NbTlS2
1.0
6.009 0.000 0.000
0.000 5.723 0.000
-5.954 0.000 12.573
Nb Tl S
4 4 8
Cartesian
-4.451 5.722 12.573
-1.474 2.863 6.286
4.507 0.002 0.001
1.530 2.860 6.287
-2.963 1.417 9.418
0.014 1.444 3.132
0.042 4.279 9.441
3.019 4.306 3.155
-2.977 4.221 7.553
0.000 4.364 1.267
0.029 4.224 5.023
-2.948 4.361 11.309
3.003 1.363 1.264
0.026 1.499 7.550
0.056 1.359 11.306
3.032 1.503 5.020
```

**SG**: No. 14
**Density of states at the Fermi level**: 23.5 states/eV/cell
**Raw formation energy**: -57.0 kJ/mol of atoms
**V**: 27.0 Å³/atom
**Total energy**: -5.76 eV/atom

---

Density functional theory data (PBE) for NbTlS2 after structural relaxation.

POSCAR file:
```
NbTlS2
1.0
-3.383 3.383 5.238
3.383 -3.383 5.238
3.383 3.383 -5.238
Nb Tl S
2 2 4
Cartesian
0.000 0.000 0.000
0.000 3.383 2.619
3.383 0.000 2.619
0.000 0.000 5.238
5.075 1.053 -1.309
1.053 1.692 1.309
-1.692 2.330 3.928
2.330 1.692 6.547
```

**SG**: No. 122
**Density of states at the Fermi level**: 5.1 states/eV/cell
**Raw formation energy**: -42.2 kJ/mol of atoms
**V**: 30.0 Å³/atom
**Total energy**: -5.61 eV/atom

---

Density functional theory data (PBE) for NbTl3S after structural relaxation.

POSCAR file:
```
NbTl3S
1.0
5.553 0.000 0.000
0.000 5.553 0.000
0.000 0.000 5.553
Nb Tl S
1 3 1
Cartesian
0.000 0.000 0.000
0.000 0.000 2.776
0.000 2.776 0.000
2.776 0.000 0.000
2.776 2.776 2.776
```

**SG**: No. 221
**Density of states at the Fermi level**: 4.7 states/eV/cell
**Raw formation energy**: 79.6 kJ/mol of atoms
**V**: 34.2 Å³/atom
**Total energy**: -3.43 eV/atom

---

Density functional theory data (PBE) for NbTlS2 after structural relaxation.

POSCAR file:
```
NbTlS2
1.0
9.011 -1.727 0.000
9.011 1.727 0.000
-1.973 0.000 5.778
Nb Tl S
2 2 4
Cartesian
0.000 0.000 0.000
8.284 0.000 2.355
4.630 0.000 1.767
11.548 0.000 4.320
1.080 0.000 2.227
7.208 0.000 0.093
8.714 0.000 4.955
15.584 0.000 3.176
```

**SG**: No. 8
**Density of states at the Fermi level**: 2.7 states/eV/cell
**Raw formation energy**: -77.7 kJ/mol of atoms
**V**: 22.5 Å³/atom
**Total energy**: -5.98 eV/atom

---

Density functional theory data (PBE) for NbTlS2 after structural relaxation.

POSCAR file:
```
NbTlS2
1.0
-2.771 2.771 5.907
2.771 -2.771 5.907
2.771 2.771 -5.907
Nb Tl S
2 2 4
Cartesian
2.771 1.386 1.477
0.000 1.386 4.430
2.771 -1.386 4.430
0.000 4.157 1.477
2.771 1.386 -1.051
0.000 1.386 1.903
2.771 1.386 4.004
0.000 1.386 6.957
```

**SG**: No. 141
**Density of states at the Fermi level**: 6.2 states/eV/cell
**Raw formation energy**: -23.6 kJ/mol of atoms
**V**: 22.7 Å³/atom
**Total energy**: -5.42 eV/atom

---

Density functional theory data (PBE) for Nb2TlS4 after structural relaxation.

POSCAR file:
```
Nb2TlS4
1.0
1.838 -6.172 0.000
1.838 6.172 0.000
0.000 0.000 12.740
Nb Tl S
4 2 8
Cartesian
1.838 4.716 7.193
1.838 4.716 11.917
1.838 -4.716 0.823
1.838 -4.716 5.547
1.838 1.488 9.555
1.838 -1.488 3.185
1.838 5.188 9.555
1.838 3.237 1.250
1.838 3.237 5.120
1.838 0.000 0.000
1.838 0.000 6.370
1.838 -3.237 7.620
1.838 -3.237 11.490
1.838 -5.188 3.185
```

**SG**: No. 63
**Density of states at the Fermi level**: 8.8 states/eV/cell
**Raw formation energy**: -68.9 kJ/mol of atoms
**V**: 20.6 Å³/atom
**Total energy**: -6.29 eV/atom